(1)
Computed, not measured: an optimized crystal structure of ZnTcOs at the PBEsol level of DFT.

Properties
DFT formation energy = 87 meV per atom
ρ = 14.28 Mg/m³
Total moment = 0.00 μB per atom

Unit cell a=4.6582 b=4.6582 c=4.6582 alpha=145.21 beta=134.00 gamma=58.95
Fractional positions:
Zn 0.0000 0.0000 0.0000
Tc 0.6733 0.6733 0.0000
Os 0.3280 0.3280 0.0000

***

(2)
Computed, not measured: an optimized crystal structure of LaScRu4 at the PBEsol level of DFT.

Properties
DFT formation energy = -106 meV per atom
ρ = 9.48 Mg/m³
Total moment = 0.00 μB per atom

Unit cell a=5.2623 b=5.2623 c=5.2623 alpha=60.00 beta=60.00 gamma=60.00
Fractional positions:
La 0.0000 0.0000 0.0000
Sc 0.7500 0.7500 0.7500
Ru 0.3756 0.3756 0.3756
Ru 0.3756 0.3756 0.8731
Ru 0.3756 0.8731 0.3756
Ru 0.8731 0.3756 0.3756